[1]
VASP calculation (PBE) on an optimized crystal structure of NbGaFe3.

Results
As for the space-group type: Cmcm, No. 63. The excess energy over the best structure of this formula in the dataset comes out at 0.000 eV/atom.

The structure in POSCAR format:
```
NbGaFe3
1.0
4.5419 0.0000 0.0000
0.0000 4.4595 0.0000
-2.2710 0.0000 6.7459
Fe Ga Nb
6 2 2
Direct
0.3956 0.7500 0.2597
0.8641 0.7500 0.2597
0.6044 0.2500 0.7403
0.1359 0.2500 0.7403
0.0000 0.5000 0.0000
0.0000 0.0000 0.0000
0.5680 0.2500 0.1361
0.4320 0.7500 0.8639
0.1968 0.2500 0.3935
0.8032 0.7500 0.6065
```

---

[2]
VASP calculation (PBE) on an optimized crystal structure of Nb2Ga2FeNi7.

Results
As for the space-group type: I4/mmm, No. 139.

The structure in POSCAR format:
```
Nb2Ga2FeNi7
1.0
-3.0285 0.8974 -0.9628
-1.2845 -2.5426 1.6700
-3.4461 7.6848 12.3238
Nb Ga Ni Fe
2 2 7 1
Direct
0.3668 0.3668 0.2651
0.6332 0.6332 0.7349
0.8093 0.8093 0.3800
0.1907 0.1907 0.6200
0.7269 0.7269 0.5473
0.4348 0.9348 0.1297
0.0652 0.5652 0.8703
0.5000 0.5000 0.0000
0.2731 0.2731 0.4527
0.5652 0.0652 0.8703
0.9348 0.4348 0.1297
0.0000 0.0000 0.0000
```

---

[3]
VASP calculation (PBE) on an optimized crystal structure of NbGaFeNi.

Results
As for the space-group type: F-43m, No. 216. The excess energy over the best structure of this formula in the dataset comes out at 0.002 eV/atom.

The structure in POSCAR format:
```
NbGaFeNi
1.0
4.2413 0.0000 0.0000
2.1207 3.6731 0.0000
2.1207 1.2244 3.4630
Ga Ni Fe Nb
1 1 1 1
Direct
0.5000 0.5000 0.5000
0.2500 0.2500 0.2500
0.7500 0.7500 0.7500
0.0000 0.0000 0.0000
```

---

[4]
VASP calculation (PBE) on an optimized crystal structure of NbGaFeNi.

Results
As for the space-group type: I-4m2, No. 119. The excess energy over the best structure of this formula in the dataset comes out at 0.000 eV/atom.

The structure in POSCAR format:
```
NbGaFeNi
1.0
3.9078 0.0000 0.0000
0.0000 3.9079 -0.0001
-1.9539 -1.9541 3.4844
Ni Nb Ga Fe
1 1 1 1
Direct
0.7500 0.2500 0.5000
0.0000 0.0000 0.0000
0.5000 0.5000 0.0000
0.2500 0.7500 0.5000
```

---

[5]
VASP calculation (PBE) on an optimized crystal structure of NbGaFeOs.

Results
As for the space-group type: F-43m, No. 216.

The structure in POSCAR format:
```
NbGaFeOs
1.0
-2.7110 2.5017 2.2614
-4.2228 -0.9365 0.1131
-1.7881 -1.4922 3.6466
Ga Os Nb Fe
1 1 1 1
Direct
0.2500 0.2500 0.2500
0.5000 0.5000 0.5000
0.7500 0.7500 0.7500
0.0000 0.0000 0.0000
```

---

[6]
VASP calculation (PBE) on an optimized crystal structure of NbGaFePd2.

Results
As for the space-group type: P4/mmm, No. 123.

The structure in POSCAR format:
```
NbGaFePd2
1.0
4.9307 0.0000 0.0000
0.0000 4.4518 0.0000
0.0000 0.0000 4.9307
Fe Nb Pd Ga
1 1 2 1
Direct
0.0000 0.5000 0.0000
0.0000 0.0000 0.0000
0.0000 0.0000 0.5000
0.5000 0.0000 0.0000
0.5000 0.5000 0.5000
```

---

[7]
VASP calculation (PBE) on an optimized crystal structure of NbGaFePd.

Results
As for the space-group type: F-43m, No. 216.

The structure in POSCAR format:
```
NbGaFePd
1.0
-3.1356 -2.5942 1.6294
-0.3040 -4.1679 -1.3240
1.0528 -3.2535 2.7429
Nb Pd Fe Ga
1 1 1 1
Direct
0.7500 0.7500 0.7500
0.5000 0.5000 0.5000
0.0000 0.0000 0.0000
0.2500 0.2500 0.2500
```

---

[8]
VASP calculation (PBE) on an optimized crystal structure of NbVGaFe.

Results
As for the space-group type: F-43m, No. 216.

The structure in POSCAR format:
```
NbVGaFe
1.0
-2.9784 -0.6344 -3.0610
0.4303 -3.2703 -2.7862
-2.6493 -3.4012 0.2374
V Nb Ga Fe
1 1 1 1
Direct
0.2500 0.2500 0.2500
0.0000 0.0000 0.0000
0.5000 0.5000 0.5000
0.7500 0.7500 0.7500
```

---

[9]
VASP calculation (PBE) on an optimized crystal structure of NdGa2Fe.

Results
As for the space-group type: R-3m, No. 166.

The structure in POSCAR format:
```
NdGa2Fe
1.0
4.1710 0.0000 0.0000
2.0855 3.6122 0.0000
2.0855 1.2041 5.2889
Fe Nd Ga
1 1 2
Direct
0.0000 0.0000 0.0000
0.5000 0.5000 0.5000
0.2880 0.2880 0.1361
0.7120 0.7120 0.8639
```

---

[10]
VASP calculation (PBE) on an optimized crystal structure of NdGa3Fe3.

Results
As for the space-group type: Pm-3n, No. 223.

The structure in POSCAR format:
```
NdGa3Fe3
1.0
6.5526 0.0000 0.0000
0.0000 6.5526 0.0000
0.0000 0.0000 6.5526
Ga Fe Nd
6 6 2
Direct
0.7500 0.5000 0.0000
0.2500 0.5000 0.0000
0.0000 0.2500 0.5000
0.5000 0.0000 0.7500
0.0000 0.7500 0.5000
0.5000 0.0000 0.2500
0.7500 0.0000 0.5000
0.5000 0.7500 0.0000
0.0000 0.5000 0.7500
0.5000 0.2500 0.0000
0.2500 0.0000 0.5000
0.0000 0.5000 0.2500
0.5000 0.5000 0.5000
0.0000 0.0000 0.0000
```

---

[11]
VASP calculation (PBE) on an optimized crystal structure of Nd8Ga2Fe.

Results
As for the space-group type: C2/m, No. 12.

The structure in POSCAR format:
```
Nd8Ga2Fe
1.0
5.0805 0.0000 0.0000
0.0000 6.9431 0.5018
-2.5402 -2.3454 8.8112
Nd Ga Fe
8 2 1
Direct
0.2068 0.3036 0.4136
0.6510 0.9702 0.3021
0.5924 0.4580 0.1849
0.0185 0.7784 0.0371
0.4076 0.5420 0.8151
0.7932 0.6964 0.5864
0.3490 0.0298 0.6979
0.9815 0.2216 0.9629
0.1889 0.7396 0.3778
0.8111 0.2604 0.6222
0.5000 0.0000 0.0000
```

---

[12]
VASP calculation (PBE) on an optimized crystal structure of Nd6GaFe13.

Results
As for the space-group type: I4/mcm, No. 140.

The structure in POSCAR format:
```
Nd6GaFe13
1.0
-1.1432 -0.3015 -7.9359
-6.5741 -4.4622 1.1165
-2.5565 11.9734 3.9695
Nd Fe Ga
12 26 2
Direct
0.5220 0.3528 0.3748
0.9780 0.4780 0.6252
0.3927 0.3927 0.7854
0.6073 0.6073 0.2146
0.8528 0.0220 0.3748
0.1073 0.1073 0.2146
0.8927 0.8927 0.7854
0.4780 0.6472 0.6252
0.3528 0.8528 0.3748
0.0220 0.5220 0.3748
0.1472 0.9780 0.6252
0.6472 0.1472 0.6252
0.9338 0.7904 0.0000
0.2096 0.9338 0.0000
0.7614 0.2614 0.8811
0.7386 0.8803 0.1189
0.5178 0.0178 0.8099
0.4822 0.9822 0.1901
0.8803 0.3803 0.1189
0.2079 0.4822 0.1901
0.2614 0.1197 0.8811
0.5000 0.0000 0.0000
0.0662 0.2096 0.0000
0.2386 0.7386 0.1189
0.0178 0.2921 0.8099
0.1197 0.6197 0.8811
0.2904 0.4338 0.0000
0.7079 0.2079 0.1901
0.5662 0.2904 0.0000
0.2921 0.7921 0.8099
0.6197 0.7614 0.8811
0.3803 0.2386 0.1189
0.7904 0.0662 0.0000
0.0000 0.5000 0.0000
0.9822 0.7079 0.1901
0.4338 0.7096 0.0000
0.7096 0.5662 0.0000
0.7921 0.5178 0.8099
0.7500 0.7500 0.5000
0.2500 0.2500 0.5000
```

---

M_tot, respectively: 1.76 3.20 1.69 0.00 0.00 1.05 1.57 2.98 2.05 5.86 0.93 26.40 μB/f.u..
Formation energy from the elements, respectively: 0.15 0.00 -0.24 -0.24 -0.22 1.04 -0.20 -0.14 -0.33 0.36 -0.14 -0.06 eV/atom.